No. 1
## KSr3Pa2N6 (GGA-PBE)

Data for an optimized crystal structure of KSr3Pa2N6.

Lattice parameters (Å, degrees): 8.060 8.060 7.473 102.40 102.40 26.77
Sites, in units of the cell vectors:
K: 0.000 0.000 0.000
Sr: 0.000 0.000 0.500
Sr: 0.339 0.339 0.162
Sr: 0.661 0.661 0.838
Pa: 0.330 0.330 0.671
Pa: 0.670 0.670 0.329
N: 0.178 0.178 0.136
N: 0.184 0.184 0.570
N: 0.464 0.464 0.708
N: 0.536 0.536 0.292
N: 0.816 0.816 0.430
N: 0.822 0.822 0.864

Properties
* magnetic moment: 0.00 μB per formula unit
* formation energy without anion corrections: -1004.8 meV per atom

=====

No. 2
## K4Pa3TaN8 (GGA-PBE)

Data for an optimized crystal structure of K4Pa3TaN8.

Lattice parameters (Å, degrees): 7.593 7.593 7.593 54.91 54.91 54.91
Sites, in units of the cell vectors:
K: 0.000 0.000 0.000
K: 0.000 0.500 0.500
K: 0.500 0.000 0.500
K: 0.500 0.500 0.000
Pa: 0.000 0.000 0.500
Pa: 0.000 0.500 0.000
Pa: 0.500 0.000 0.000
Ta: 0.500 0.500 0.500
N: 0.221 0.221 0.221
N: 0.238 0.713 0.713
N: 0.287 0.287 0.762
N: 0.287 0.762 0.287
N: 0.713 0.238 0.713
N: 0.713 0.713 0.238
N: 0.762 0.287 0.287
N: 0.779 0.779 0.779

Properties
* magnetic moment: 0.00 μB per formula unit
* formation energy without anion corrections: -1080.0 meV per atom

=====

No. 3
## K2PaTaN4 (GGA-PBE)

Data for an optimized crystal structure of K2PaTaN4.

Lattice parameters (Å, degrees): 5.864 3.393 6.702 90.00 106.64 90.00
Sites, in units of the cell vectors:
K: 0.000 0.000 0.000
K: 0.500 0.500 0.000
Pa: 0.000 0.500 0.500
Ta: 0.500 0.000 0.500
N: 0.243 0.000 0.667
N: 0.291 0.500 0.335
N: 0.709 0.500 0.665
N: 0.757 0.000 0.333

Properties
* magnetic moment: 0.00 μB per formula unit
* formation energy without anion corrections: -971.9 meV per atom

=====

No. 4
## K2PaTcN4 (GGA-PBE)

Data for an optimized crystal structure of K2PaTcN4.

Lattice parameters (Å, degrees): 7.068 7.589 5.977 90.00 90.00 90.00
Sites, in units of the cell vectors:
K: 0.250 0.149 0.000
K: 0.250 0.851 0.500
K: 0.750 0.149 0.000
K: 0.750 0.851 0.500
Pa: 0.000 0.376 0.480
Pa: 0.500 0.624 0.980
Tc: 0.000 0.653 0.973
Tc: 0.500 0.347 0.473
N: 0.000 0.436 0.121
N: 0.000 0.615 0.665
N: 0.234 0.773 0.023
N: 0.266 0.227 0.523
N: 0.500 0.385 0.165
N: 0.500 0.564 0.621
N: 0.734 0.227 0.523
N: 0.766 0.773 0.023

Properties
* magnetic moment: 1.53 μB per formula unit
* formation energy without anion corrections: -417.1 meV per atom

=====

No. 5
## K2Pa2TcN6 (GGA-PBE)

Data for an optimized crystal structure of K2Pa2TcN6.

Lattice parameters (Å, degrees): 5.848 5.848 6.714 96.85 96.85 119.66
Sites, in units of the cell vectors:
K: 0.156 0.844 0.000
K: 0.844 0.156 0.000
Pa: 0.335 0.665 0.500
Pa: 0.665 0.335 0.500
Tc: 0.000 0.000 0.500
N: 0.041 0.359 0.657
N: 0.256 0.256 0.341
N: 0.359 0.041 0.657
N: 0.641 0.959 0.343
N: 0.744 0.744 0.659
N: 0.959 0.641 0.343

Properties
* magnetic moment: 0.52 μB per formula unit
* formation energy without anion corrections: -710.2 meV per atom

=====

No. 6
## KPaTcN4 (GGA-PBE)

Data for an optimized crystal structure of KPaTcN4.

Lattice parameters (Å, degrees): 6.071 5.758 7.672 90.00 105.74 90.00
Sites, in units of the cell vectors:
K: 0.204 0.250 0.428
K: 0.796 0.750 0.572
Pa: 0.295 0.250 0.949
Pa: 0.705 0.750 0.051
Tc: 0.239 0.750 0.156
Tc: 0.761 0.250 0.844
N: 0.035 0.750 0.938
N: 0.040 0.750 0.294
N: 0.461 0.512 0.169
N: 0.461 0.988 0.169
N: 0.539 0.012 0.831
N: 0.539 0.488 0.831
N: 0.960 0.250 0.706
N: 0.965 0.250 0.062

Properties
* magnetic moment: 0.00 μB per formula unit
* formation energy without anion corrections: -580.1 meV per atom

=====

No. 7
## KPaTc2N6 (GGA-PBE)

Data for an optimized crystal structure of KPaTc2N6.

Lattice parameters (Å, degrees): 7.613 7.613 6.427 103.83 103.83 86.37
Sites, in units of the cell vectors:
K: 0.082 0.918 0.750
K: 0.918 0.082 0.250
Pa: 0.309 0.691 0.250
Pa: 0.691 0.309 0.750
Tc: 0.209 0.383 0.811
Tc: 0.383 0.209 0.311
Tc: 0.617 0.791 0.689
Tc: 0.791 0.617 0.189
N: 0.009 0.715 0.281
N: 0.202 0.628 0.900
N: 0.285 0.991 0.219
N: 0.325 0.358 0.101
N: 0.358 0.325 0.601
N: 0.372 0.798 0.600
N: 0.628 0.202 0.400
N: 0.642 0.675 0.399
N: 0.675 0.642 0.899
N: 0.715 0.009 0.781
N: 0.798 0.372 0.100
N: 0.991 0.285 0.719

Properties
* magnetic moment: 0.00 μB per formula unit
* formation energy without anion corrections: -324.2 meV per atom

=====

No. 8
## K2PaTc2N6 (GGA-PBE)

Data for an optimized crystal structure of K2PaTc2N6.

Lattice parameters (Å, degrees): 6.204 6.204 7.197 117.87 117.87 59.06
Sites, in units of the cell vectors:
K: 0.210 0.210 0.174
K: 0.790 0.790 0.826
Pa: 0.000 0.000 0.500
Tc: 0.449 0.449 0.790
Tc: 0.551 0.551 0.210
N: 0.232 0.729 0.260
N: 0.258 0.258 0.674
N: 0.271 0.768 0.740
N: 0.729 0.232 0.260
N: 0.742 0.742 0.326
N: 0.768 0.271 0.740

Properties
* magnetic moment: 0.00 μB per formula unit
* formation energy without anion corrections: -449.1 meV per atom